Entry 1:
Entry from Alexandria: crystalline MgSeBr2N at its relaxed geometry (PBEsol).

```
data_MgSeBr2N
_space_group_name_H-M_alt 'P 1'
_space_group_IT_number 1
_cell_length_a 5.226
_cell_length_b 5.226
_cell_length_c 5.227
_cell_angle_alpha 90.00
_cell_angle_beta 90.00
_cell_angle_gamma 90.00
loop_
_space_group_symop_operation_xyz
'x,y,z'
loop_
_atom_site_label
_atom_site_type_symbol
_atom_site_fract_x
_atom_site_fract_y
_atom_site_fract_z
Br1 Br 0.000 0.500 0.000
Br2 Br 0.500 0.000 0.000
Se1 Se 0.000 0.000 0.500
N1 N 0.500 0.500 0.500
Mg1 Mg 0.000 0.000 0.000
```

Output
SG = P4/mmm, No. 123
Total magnetic moment = 4.98 μB per formula unit
Polymorph energy (0 for the lowest one) = 288 meV/atom


Entry 2:
Entry from Alexandria: crystalline MgNb2NiBr at its relaxed geometry (PBEsol).

```
data_MgNb2NiBr
_space_group_name_H-M_alt 'P 1'
_space_group_IT_number 1
_cell_length_a 4.621
_cell_length_b 4.829
_cell_length_c 4.829
_cell_angle_alpha 90.00
_cell_angle_beta 90.00
_cell_angle_gamma 90.00
loop_
_space_group_symop_operation_xyz
'x,y,z'
loop_
_atom_site_label
_atom_site_type_symbol
_atom_site_fract_x
_atom_site_fract_y
_atom_site_fract_z
Br1 Br 0.500 0.000 0.000
Ni1 Ni 0.500 0.500 0.500
Mg1 Mg 0.000 0.000 0.000
Nb1 Nb 0.000 0.500 0.000
Nb2 Nb 0.000 0.000 0.500
```

Output
SG = P4/mmm, No. 123
Total magnetic moment = 0.37 μB per formula unit


Entry 3:
Entry from Alexandria: crystalline MgNi2Br at its relaxed geometry (PBEsol).

```
data_MgNi2Br
_space_group_name_H-M_alt 'P 1'
_space_group_IT_number 1
_cell_length_a 3.007
_cell_length_b 3.007
_cell_length_c 7.883
_cell_angle_alpha 79.00
_cell_angle_beta 79.00
_cell_angle_gamma 60.00
loop_
_space_group_symop_operation_xyz
'x,y,z'
loop_
_atom_site_label
_atom_site_type_symbol
_atom_site_fract_x
_atom_site_fract_y
_atom_site_fract_z
Ni1 Ni 0.754 0.754 0.737
Ni2 Ni 0.246 0.246 0.263
Br1 Br 0.500 0.500 0.500
Mg1 Mg 0.000 0.000 0.000
```

Output
SG = R-3m, No. 166
Total magnetic moment = 0.00 μB per formula unit
Polymorph energy (0 for the lowest one) = 48 meV/atom


Entry 4:
Entry from Alexandria: crystalline MgNiBr2 at its relaxed geometry (PBEsol).

```
data_MgNiBr2
_space_group_name_H-M_alt 'P 1'
_space_group_IT_number 1
_cell_length_a 4.946
_cell_length_b 4.945
_cell_length_c 4.945
_cell_angle_alpha 93.64
_cell_angle_beta 118.02
_cell_angle_gamma 118.02
loop_
_space_group_symop_operation_xyz
'x,y,z'
loop_
_atom_site_label
_atom_site_type_symbol
_atom_site_fract_x
_atom_site_fract_y
_atom_site_fract_z
Ni1 Ni 0.500 0.500 0.500
Br1 Br 0.000 0.500 0.000
Br2 Br 0.000 0.000 0.500
Mg1 Mg 0.500 0.000 0.000
```

Output
SG = C2/m, No. 12
Total magnetic moment = 0.00 μB per formula unit
Polymorph energy (0 for the lowest one) = 0 meV/atom


Entry 5:
Entry from Alexandria: crystalline MgNi2Br at its relaxed geometry (PBEsol).

```
data_MgNi2Br
_space_group_name_H-M_alt 'P 1'
_space_group_IT_number 1
_cell_length_a 3.482
_cell_length_b 3.932
_cell_length_c 4.134
_cell_angle_alpha 90.00
_cell_angle_beta 90.00
_cell_angle_gamma 90.00
loop_
_space_group_symop_operation_xyz
'x,y,z'
loop_
_atom_site_label
_atom_site_type_symbol
_atom_site_fract_x
_atom_site_fract_y
_atom_site_fract_z
Ni1 Ni 0.000 0.000 0.000
Ni2 Ni 0.500 0.000 0.500
Br1 Br 0.500 0.500 0.000
Mg1 Mg 0.000 0.500 0.500
```

Output
SG = Pmmm, No. 47
Total magnetic moment = 0.00 μB per formula unit
Polymorph energy (0 for the lowest one) = 0 meV/atom


Entry 6:
Entry from Alexandria: crystalline MgNiBr2 at its relaxed geometry (PBEsol).

```
data_MgNiBr2
_space_group_name_H-M_alt 'P 1'
_space_group_IT_number 1
_cell_length_a 4.688
_cell_length_b 4.688
_cell_length_c 4.688
_cell_angle_alpha 60.00
_cell_angle_beta 60.00
_cell_angle_gamma 60.00
loop_
_space_group_symop_operation_xyz
'x,y,z'
loop_
_atom_site_label
_atom_site_type_symbol
_atom_site_fract_x
_atom_site_fract_y
_atom_site_fract_z
Br1 Br 0.250 0.250 0.250
Br2 Br 0.750 0.750 0.750
Ni1 Ni 0.000 0.000 0.000
Mg1 Mg 0.500 0.500 0.500
```

Output
SG = Fm-3m, No. 225
Total magnetic moment = 0.13 μB per formula unit
Polymorph energy (0 for the lowest one) = 84 meV/atom


Result set for VASP energy: -2.830, -4.198, -3.669, -3.083, -3.717, -2.999 eV per atom, one per record in the order listed.